Here is a geometry-optimized CeDyFeC structure from the Alexandria database. Energies are from PBE.

energy of formation	0.16	eV/atom
space-group type	P4/nmm
calculated density	8.43	Mg/m³
total moment	0.00	μB per atom

Cell lengths 3.6412, 3.6412, 11.0117 Å; angles 90.00, 90.00, 90.00 degrees
Sites, in units of the cell vectors:
Ce 0.2500 0.7500 0.5000
Ce 0.7500 0.2500 0.5000
Dy 0.7500 0.7500 0.1974
Dy 0.2500 0.2500 0.8026
Fe 0.7500 0.2500 0.0000
Fe 0.2500 0.7500 0.0000
C 0.7500 0.7500 0.9238
C 0.2500 0.2500 0.0762

***

Here is a geometry-optimized NaNi2Ge structure from the Alexandria database. Energies are from PBE.

energy of formation	0.30	eV/atom
space-group type	I-42d
calculated density	5.34	Mg/m³
total moment	0.00	μB per atom

Cell lengths 6.9229, 6.9229, 5.6210 Å; angles 51.99, 51.99, 90.00 degrees
Sites, in units of the cell vectors:
Ni 0.6840 0.1250 0.2500
Ni 0.0660 0.6250 0.2500
Ni 0.3750 0.3160 0.7500
Ni 0.8750 0.9340 0.7500
Ge 0.0000 0.0000 0.0000
Ge 0.7500 0.2500 0.5000
Na 0.5000 0.5000 0.0000
Na 0.2500 0.7500 0.5000

***

Here is a geometry-optimized PrInTe structure from the Alexandria database. Energies are from PBE.

formation energy without anion corrections	-0.84	eV per atom
space-group type	C2/m
calculated density	6.50	Mg/m³
total moment	0.00	μB per atom

Cell lengths 4.4388, 4.4388, 10.3026 Å; angles 100.78, 100.78, 89.53 degrees
Sites, in units of the cell vectors:
In 0.2470 0.2470 0.4829
In 0.7530 0.7530 0.5171
Te 0.6860 0.6860 0.8599
Te 0.3140 0.3140 0.1401
Pr 0.1651 0.1651 0.8101
Pr 0.8349 0.8349 0.1899

***

Here is a geometry-optimized Dy11Tl9Rh4 structure from the Alexandria database. Energies are from PBE.

energy of formation	-0.56	eV/atom
space-group type	Cmmm
calculated density	11.22	Mg/m³
total moment	0.00	μB per atom

Cell lengths 3.7045, 13.2145, 13.2145 Å; angles 112.49, 90.00, 90.00 degrees
Sites, in units of the cell vectors:
Dy 0.0000 0.5827 0.9175
Dy 0.0000 0.4173 0.0825
Dy 0.0000 0.9175 0.5827
Dy 0.0000 0.0825 0.4173
Dy 0.0000 0.6261 0.3739
Dy 0.0000 0.3739 0.6261
Dy 0.0000 0.8371 0.1629
Dy 0.0000 0.1629 0.8371
Dy 0.0000 0.0000 0.0000
Dy 0.0000 0.6882 0.6882
Dy 0.0000 0.3118 0.3118
Tl 0.5000 0.6308 0.1529
Tl 0.5000 0.3692 0.8471
Tl 0.5000 0.1529 0.6308
Tl 0.5000 0.8471 0.3692
Tl 0.5000 0.7834 0.9291
Tl 0.5000 0.2166 0.0709
Tl 0.5000 0.9291 0.7834
Tl 0.5000 0.0709 0.2166
Tl 0.5000 0.5000 0.5000
Rh 0.5000 0.5503 0.7516
Rh 0.5000 0.4497 0.2484
Rh 0.5000 0.7516 0.5503
Rh 0.5000 0.2484 0.4497

***

Here is a geometry-optimized Ac8AgAu2 structure from the Alexandria database. Energies are from PBE.

energy of formation	-0.21	eV/atom
space-group type	Cm
calculated density	8.99	Mg/m³
energy above the most stable polymorph in this dataset	85.7	meV/atom
total moment	0.00	μB per atom

Cell lengths 6.5314, 8.7076, 8.7076 Å; angles 114.44, 99.74, 99.74 degrees
Sites, in units of the cell vectors:
Ac 0.5857 0.3450 0.0909
Ac 0.5857 0.0909 0.3450
Ac 0.1788 0.3816 0.3816
Ac 0.9845 0.2174 0.7781
Ac 0.9845 0.7781 0.2174
Ac 0.7994 0.6311 0.6311
Ac 0.3726 0.9125 0.6582
Ac 0.3726 0.6582 0.9125
Au 0.4913 0.7017 0.3079
Au 0.4913 0.3079 0.7017
Ag 0.1532 0.0096 0.0096